Compound: PaPdAuO6
Source: Alexandria
Functional: GGA-PBE
Structure: optimized geometry

## Properties
Space group = P-31c, No. 163
E_form (uncorrected) = -1332 meV per atom
Density of states at the Fermi level = 0.250 states/eV per atom

a = 5.4200 Å, b = 5.4200 Å, c = 9.3726 Å
α = 90.00°, β = 90.00°, γ = 120.00°
Last column: nearest neighbours and their distance in Å.
Atoms (fractional coordinates):
Pa 0.3333 0.6667 0.2500  6 O 2.17
Pa 0.6667 0.3333 0.7500  6 O 2.17
Pd 0.6667 0.3333 0.2500  6 O 2.06
Pd 0.3333 0.6667 0.7500  6 O 2.06
Au 0.0000 0.0000 0.0000  6 O 2.21
Au 0.0000 0.0000 0.5000  6 O 2.21
O 0.6664 0.6508 0.1284  1 Pd 2.06, 1 Pa 2.17, 1 Au 2.21
O 0.9844 0.3336 0.1284  1 Pd 2.06, 1 Pa 2.17, 1 Au 2.21
O 0.3336 0.9844 0.6284  1 Pd 2.06, 1 Pa 2.17, 1 Au 2.21
O 0.0156 0.6664 0.8716  1 Pd 2.06, 1 Pa 2.17, 1 Au 2.21
O 0.3492 0.3336 0.3716  1 Pd 2.06, 1 Pa 2.17, 1 Au 2.21
O 0.9844 0.6508 0.3716  1 Pd 2.06, 1 Pa 2.17, 1 Au 2.21
O 0.6508 0.9844 0.8716  1 Pd 2.06, 1 Pa 2.17, 1 Au 2.21
O 0.6664 0.0156 0.3716  1 Pd 2.06, 1 Pa 2.17, 1 Au 2.21
O 0.0156 0.3492 0.6284  1 Pd 2.06, 1 Pa 2.17, 1 Au 2.21
O 0.3492 0.0156 0.1284  1 Pd 2.06, 1 Pa 2.17, 1 Au 2.21
O 0.6508 0.6664 0.6284  1 Pd 2.06, 1 Pa 2.17, 1 Au 2.21
O 0.3336 0.3492 0.8716  1 Pd 2.06, 1 Pa 2.17, 1 Au 2.21